4
Lattice="5.147 0.002 0.000 2.129 4.686 0.000 -3.638 -2.344 2.786" Properties=species:S:1:pos:R:3 comment="CaCo2Ag | the Alexandria database | PBE-GGA | optimized geometry" magmom_total_mub_per_fu=2.98 delta_e_f_ev_per_atom=0.4582 mass_density_g_cm3=6.57 dos_ef_per_ev_fu=4.835 vol_a3_per_cell=67.2 space_group="No. 139" pbc="T T T"
Ca 2.574 0.001 1.393
Ag 1.065 2.343 1.393
Co 0.000 0.000 0.000
Co 3.638 2.344 0.000